(1)
Entry from Alexandria: crystalline V2IrRhBr at its relaxed geometry (GGA-PBE).

Summary:
* energy relative to the elements, uncorrected: 1.201 eV per atom
* magnetization: 0.00 μB per atom
* VASP energy: -6.0231 eV per atom

Cell: 4.379 4.379 4.448 Å, 90.00 90.00 90.00°
Fractional positions:
V: 0.000 0.500 0.000
V: 0.500 0.000 0.000
Ir: 0.000 0.000 0.500
Rh: 0.500 0.500 0.500
Br: 0.500 0.500 0.000

(2)
Entry from Alexandria: crystalline IrRuBr2 at its relaxed geometry (GGA-PBE).

Summary:
* energy relative to the elements, uncorrected: 0.712 eV per atom
* magnetization: 0.00 μB per atom
* VASP energy: -4.6584 eV per atom
* energy above the lowest structure with this stoichiometry: 0.454 eV per atom

Cell: 2.869 4.380 7.510 Å, 90.00 90.00 90.00°
Fractional positions:
Ir: 0.000 0.000 0.000
Ru: 0.500 0.500 0.058
Br: 0.000 0.000 0.322
Br: 0.500 0.500 0.737

(3)
Entry from Alexandria: crystalline Ir2RuBr at its relaxed geometry (GGA-PBE).

Summary:
* energy relative to the elements, uncorrected: 0.933 eV per atom
* magnetization: 0.11 μB per atom
* VASP energy: -6.2349 eV per atom
* energy above the lowest structure with this stoichiometry: 0.392 eV per atom

Cell: 2.918 4.799 4.546 Å, 90.00 90.90 90.00°
Fractional positions:
Ir: 0.231 0.000 0.255
Ir: 0.769 0.000 0.745
Ru: 0.000 0.500 0.500
Br: 0.500 0.500 0.000

(4)
Entry from Alexandria: crystalline Ir3RuBr at its relaxed geometry (GGA-PBE).

Summary:
* energy relative to the elements, uncorrected: 1.983 eV per atom
* magnetization: 0.00 μB per atom
* VASP energy: -5.5238 eV per atom
* energy above the lowest structure with this stoichiometry: 0.000 eV per atom

Cell: 4.749 4.749 4.749 Å, 90.00 90.00 90.00°
Fractional positions:
Ir: 0.000 0.000 0.500
Ir: 0.000 0.500 0.000
Ir: 0.500 0.000 0.000
Ru: 0.000 0.000 0.000
Br: 0.500 0.500 0.500

(5)
Entry from Alexandria: crystalline Ir2RuBr at its relaxed geometry (GGA-PBE).

Summary:
* energy relative to the elements, uncorrected: 0.780 eV per atom
* magnetization: 0.00 μB per atom
* VASP energy: -6.3877 eV per atom
* energy above the lowest structure with this stoichiometry: 0.239 eV per atom

Cell: 2.783 3.590 7.127 Å, 90.00 90.00 90.00°
Fractional positions:
Ir: 0.000 0.000 0.186
Ir: 0.000 0.000 0.814
Ru: 0.500 0.500 0.000
Br: 0.500 0.500 0.500

(6)
Entry from Alexandria: crystalline IrRuBr2 at its relaxed geometry (GGA-PBE).

Summary:
* energy relative to the elements, uncorrected: 1.066 eV per atom
* magnetization: 0.00 μB per atom
* VASP energy: -4.3045 eV per atom
* energy above the lowest structure with this stoichiometry: 0.808 eV per atom

Cell: 2.960 5.550 8.776 Å, 90.00 90.00 90.00°
Fractional positions:
Ir: 0.000 0.000 0.000
Ir: 0.500 0.500 0.000
Ru: 0.000 0.000 0.500
Ru: 0.500 0.500 0.500
Br: 0.000 0.500 0.259
Br: 0.000 0.500 0.741
Br: 0.500 0.000 0.259
Br: 0.500 0.000 0.741